VASP calculation (PBE) on a relaxed SrIrAu2 crystal.

Calculated values
As for the crystal system: orthorhombic. The calculation puts the energy at -4.223 eV per atom. The value obtained for the relative energy among the computed polymorphs is 0.2518 eV/atom. For the calculated formation energy, the calculation gives 51 meV per atom. The calculation puts the density of states at the Fermi level at 3.946 states/eV per cell. The value obtained for the volume is 20.87 Å³/atom.

Cell and atoms, written as POSCAR:
```
SrIrAu2
1.0
3.154 0.000 0.000
0.000 3.972 0.000
0.000 0.000 6.665
Au Ir Sr
2 1 1
Direct
0.000 0.000 0.047 Au
0.000 0.000 0.453 Au
0.500 0.500 0.250 Ir
0.500 0.500 0.750 Sr
```